[1]
# PrHoHgAu (GGA-PBE, optimized geometry)
# symmetry	No. 216
# raw total energy	-3.848	eV/atom
data_PrHoHgAu
_cell_length_a 5.272
_cell_length_b 5.272
_cell_length_c 5.272
_cell_angle_alpha 60.00
_cell_angle_beta 60.00
_cell_angle_gamma 60.00
_space_group_name_H-M_alt 'P 1'
_space_group_IT_number 1
_space_group_name_Hall 'P 1'
loop_
_atom_site_label
_atom_site_fract_x
_atom_site_fract_y
_atom_site_fract_z
_atom_site_occupancy
Pr1 0.500 0.500 0.500 1
Au1 0.250 0.250 0.250 1
Hg1 0.750 0.750 0.750 1
Ho1 0.000 0.000 0.000 1

[2]
# Nd4Dy7Tm (GGA-PBE, optimized geometry)
# symmetry	No. 2
# raw total energy	-4.557	eV/atom
data_Nd4Dy7Tm
_cell_length_a 6.841
_cell_length_b 6.552
_cell_length_c 11.842
_cell_angle_alpha 75.56
_cell_angle_beta 50.14
_cell_angle_gamma 82.10
_space_group_name_H-M_alt 'P 1'
_space_group_IT_number 1
_space_group_name_Hall 'P 1'
loop_
_atom_site_label
_atom_site_fract_x
_atom_site_fract_y
_atom_site_fract_z
_atom_site_occupancy
Nd1 0.529 0.640 0.282 1
Nd2 0.471 0.360 0.718 1
Nd3 0.689 0.838 0.694 1
Nd4 0.311 0.162 0.306 1
Dy1 0.804 0.511 0.950 1
Dy2 0.196 0.489 0.050 1
Dy3 0.057 0.318 0.641 1
Dy4 0.943 0.682 0.359 1
Dy5 0.277 0.812 0.617 1
Dy6 0.500 0.000 0.000 1
Dy7 0.723 0.188 0.383 1
Tm1 0.000 0.000 0.000 1

[3]
# SnTe3AsAu (GGA-PBE, optimized geometry)
# symmetry	No. 11
# uncorrected formation energy	-6	kJ/mol of atoms
data_SnTe3AsAu
_cell_length_a 4.242
_cell_length_b 8.450
_cell_length_c 9.845
_cell_angle_alpha 100.69
_cell_angle_beta 90.00
_cell_angle_gamma 90.00
_space_group_name_H-M_alt 'P 1'
_space_group_IT_number 1
_space_group_name_Hall 'P 1'
loop_
_atom_site_label
_atom_site_fract_x
_atom_site_fract_y
_atom_site_fract_z
_atom_site_occupancy
Sn1 0.750 0.818 0.702 1
Sn2 0.250 0.182 0.298 1
Te1 0.250 0.716 0.468 1
Te2 0.750 0.897 0.122 1
Te3 0.750 0.423 0.153 1
Te4 0.750 0.284 0.532 1
Te5 0.250 0.577 0.847 1
Te6 0.250 0.103 0.878 1
As1 0.250 0.666 0.124 1
As2 0.750 0.334 0.876 1
Au1 0.250 0.066 0.596 1
Au2 0.750 0.934 0.404 1

[4]
# PuGa12Ir4 (GGA-PBE, optimized geometry)
# symmetry	No. 204
# raw total energy	-5.205	eV/atom
data_PuGa12Ir4
_cell_length_a 7.647
_cell_length_b 7.647
_cell_length_c 7.647
_cell_angle_alpha 109.47
_cell_angle_beta 109.47
_cell_angle_gamma 109.47
_space_group_name_H-M_alt 'P 1'
_space_group_IT_number 1
_space_group_name_Hall 'P 1'
loop_
_atom_site_label
_atom_site_fract_x
_atom_site_fract_y
_atom_site_fract_z
_atom_site_occupancy
Pu1 0.000 0.000 0.000 1
Ga1 0.841 0.336 0.177 1
Ga2 0.336 0.495 0.159 1
Ga3 0.823 0.159 0.664 1
Ga4 0.336 0.177 0.841 1
Ga5 0.177 0.841 0.336 1
Ga6 0.664 0.505 0.841 1
Ga7 0.495 0.159 0.336 1
Ga8 0.505 0.841 0.664 1
Ga9 0.664 0.823 0.159 1
Ga10 0.841 0.664 0.505 1
Ga11 0.159 0.336 0.495 1
Ga12 0.159 0.664 0.823 1
Ir1 0.000 0.500 0.000 1
Ir2 0.500 0.000 0.000 1
Ir3 0.500 0.500 0.500 1
Ir4 0.000 0.000 0.500 1